Computed, not measured: an optimized crystal structure of LiTlRh2 at the PBE-GGA level of DFT.

Cell: 9.5428 9.5428 9.5428 Å, 156.33 156.33 33.73°
Element x y z (fractional)
Li (0.0000, 0.0000, 0.0000)
Li (0.7500, 0.2500, 0.5000)
Tl (0.2500, 0.7500, 0.5000)
Tl (0.5000, 0.5000, 0.0000)
Rh (0.0769, 0.6250, 0.9519)
Rh (0.3750, 0.3269, 0.4519)
Rh (0.6731, 0.1250, 0.0481)
Rh (0.8750, 0.9231, 0.5481)

Values from the calculation:
DOS at the Fermi energy, states/eV/cell: 9.72
Energy, eV/atom: -4.515
Magnetic moment, μB per cell: 0.0
Energy relative to the elements, eV/atom: 0.231